[1]
This record from Alexandria via LeMat-Bulk describes a relaxed LiCd2As crystal. The functional is GGA-PBEsol.

The value obtained for the formation energy is -0.639 eV/f.u.

Geometry as POSCAR:
```
LiCd2As
1.0
2.9491 0.0000 0.0000
0.0000 4.0680 0.0000
0.0000 0.0000 6.3203
Li Cd As
1 2 1
Direct
0.0000 0.0000 0.0000
0.0000 0.0000 0.4792
0.5000 0.5000 0.7354
0.5000 0.5000 0.1818
```

***

[2]
This record from Alexandria via LeMat-Bulk describes a relaxed LiCd2As crystal. The functional is GGA-PBEsol.

The value obtained for the formation energy is -0.771 eV/f.u.

Geometry as POSCAR:
```
LiCd2As
1.0
-2.0816 2.0816 4.3672
2.0816 -2.0816 4.3672
2.0816 2.0816 -4.3672
Li Cd As
1 2 1
Direct
0.0000 0.0000 0.0000
0.2500 0.7500 0.5000
0.7500 0.2500 0.5000
0.5000 0.5000 0.0000
```

***

[3]
This record from Alexandria via LeMat-Bulk describes a relaxed LiCd2As crystal. The functional is GGA-PBEsol.

The value obtained for the formation energy is 0.010 eV/f.u.

Geometry as POSCAR:
```
LiCd2As
1.0
1.5233 0.8795 9.5565
-1.5233 0.8795 9.5565
0.0000 -1.7590 9.5565
Li Cd As
1 2 1
Direct
0.0000 0.0000 0.0000
0.2541 0.2541 0.2541
0.7459 0.7459 0.7459
0.5000 0.5000 0.5000
```

***

[4]
This record from Alexandria via LeMat-Bulk describes a relaxed LiCdAs2 crystal. The functional is GGA-PBEsol.

The value obtained for the formation energy is -0.386 eV/f.u.

Geometry as POSCAR:
```
LiCdAs2
1.0
-2.0266 2.0266 4.4804
2.0266 -2.0266 4.4804
2.0266 2.0266 -4.4804
Li Cd As
1 1 2
Direct
0.0000 0.0000 0.0000
0.2500 0.7500 0.5000
0.5000 0.5000 0.0000
0.7500 0.2500 0.5000
```

***

[5]
This record from Alexandria via LeMat-Bulk describes a relaxed LiCdReAs2 crystal. The functional is GGA-PBEsol.

The value obtained for the formation energy is 1.505 eV/f.u.

Geometry as POSCAR:
```
LiCdReAs2
1.0
4.7665 0.0000 0.0000
0.0000 4.7665 0.0000
0.0000 0.0000 5.2408
Li Cd Re As
1 1 1 2
Direct
0.0000 0.0000 0.0000
0.5000 0.5000 0.0000
0.5000 0.5000 0.5000
0.0000 0.5000 0.5000
0.5000 0.0000 0.5000
```

***

[6]
This record from Alexandria via LeMat-Bulk describes a relaxed LiCdAsSe2 crystal. The functional is GGA-PBEsol.

The calculation puts the uncorrected formation energy at 0.358 eV per atom.

Geometry as POSCAR:
```
LiCdAsSe2
1.0
5.2690 0.0000 0.0000
0.0000 5.2690 0.0000
0.0000 0.0000 5.0180
Li Cd As Se
1 1 1 2
Direct
0.0000 0.0000 0.0000
0.5000 0.5000 0.5000
0.5000 0.5000 0.0000
0.0000 0.5000 0.5000
0.5000 0.0000 0.5000
```

***

[7]
This record from Alexandria via LeMat-Bulk describes a relaxed LiTa2CdAs crystal. The functional is GGA-PBEsol.

The value obtained for the formation energy is 4.894 eV/f.u.

Geometry as POSCAR:
```
LiTa2CdAs
1.0
4.7514 0.0000 0.0000
0.0000 4.7514 0.0000
0.0000 0.0000 5.0486
Li Ta Cd As
1 2 1 1
Direct
0.0000 0.0000 0.0000
0.0000 0.5000 0.5000
0.5000 0.0000 0.5000
0.5000 0.5000 0.0000
0.5000 0.5000 0.5000
```

***

[8]
This record from Alexandria via LeMat-Bulk describes a relaxed LiZnCd2As crystal. The functional is GGA-PBEsol.

The value obtained for the formation energy is 1.054 eV/f.u.

Geometry as POSCAR:
```
LiZnCd2As
1.0
5.2578 0.0000 0.0000
0.0000 5.2578 0.0000
0.0000 0.0000 4.7264
Li Zn Cd As
1 1 2 1
Direct
0.0000 0.0000 0.0000
0.5000 0.5000 0.0000
0.0000 0.5000 0.5000
0.5000 0.0000 0.5000
0.0000 0.0000 0.5000
```

***

[9]
This record from Alexandria via LeMat-Bulk describes a relaxed MgCd3As crystal. The functional is GGA-PBEsol.

The value obtained for the formation energy is 3.814 eV/f.u.

Geometry as POSCAR:
```
MgCd3As
1.0
5.1480 0.0000 0.0000
0.0000 5.1480 0.0000
0.0000 0.0000 5.1480
Mg Cd As
1 3 1
Direct
0.0000 0.0000 0.0000
0.0000 0.0000 0.5000
0.0000 0.5000 0.0000
0.5000 0.0000 0.0000
0.5000 0.5000 0.5000
```

***

[10]
This record from Alexandria via LeMat-Bulk describes a relaxed MgCd2As crystal. The functional is GGA-PBEsol.

The value obtained for the formation energy is -0.174 eV/f.u.

Geometry as POSCAR:
```
MgCd2As
1.0
-2.1358 2.1358 4.4803
2.1358 -2.1358 4.4803
2.1358 2.1358 -4.4803
Mg Cd As
1 2 1
Direct
0.0000 0.0000 0.0000
0.2500 0.7500 0.5000
0.5000 0.5000 0.0000
0.7500 0.2500 0.5000
```

***

[11]
This record from Alexandria via LeMat-Bulk describes a relaxed MgCd2As crystal. The functional is GGA-PBEsol.

The value obtained for the formation energy is 0.209 eV/f.u.

Geometry as POSCAR:
```
MgCd2As
1.0
2.2018 -2.2080 0.0000
2.2018 2.2080 0.0000
0.0000 0.0000 8.4947
Mg Cd As
1 2 1
Direct
0.0000 0.0000 0.0000
0.5000 0.5000 0.2516
0.5000 0.5000 0.7484
0.0000 0.0000 0.5000
```

***

[12]
This record from Alexandria via LeMat-Bulk describes a relaxed MgCdAsSe2 crystal. The functional is GGA-PBEsol.

The calculation puts the uncorrected formation energy at 0.470 eV per atom.

Geometry as POSCAR:
```
MgCdAsSe2
1.0
5.1919 0.0000 0.0000
0.0000 5.1919 0.0000
0.0000 0.0000 4.9783
Mg Cd As Se
1 1 1 2
Direct
0.0000 0.0000 0.0000
0.5000 0.5000 0.5000
0.5000 0.5000 0.0000
0.0000 0.5000 0.5000
0.5000 0.0000 0.5000
```

***

Summary of Fermi-level density of states in states/eV/f.u.
1.19, 1.04, 1.72, 1.35, 2.17, 4.42, 4.84, 1.78, 3.98, 1.37, 1.64, 5.35
(order as listed above)
Summary of spin magnetization in μB per cell
0.000, 0.000, 0.000, 0.000, 0.000, 0.001, 0.000, 0.000, 0.003, 0.000, 0.000, 0.006
(order as listed above)
Summary of V in Å³/cell
76, 76, 77, 74, 119, 139, 114, 131, 136, 82, 83, 134
(order as listed above)